[1]
5
Lattice="-2.004 2.004 6.788 2.004 -2.004 6.788 2.004 2.004 -6.788" Properties=species:S:1:pos:R:3 comment="Hg2TeAu2 PBEsol optimized geometry" sg=I4/mmm volume_a3_per_atom=21.8 e_form_raw_ev_per_atom=0.11 pbc="T T T"
Hg 2.004 0.000 3.394
Hg 0.000 2.004 3.394
Te 0.000 0.000 0.000
Au 0.000 0.000 5.463
Au 0.000 0.000 8.113



[2]
4
Lattice="2.111 1.219 6.347 -2.111 1.219 6.347 0.000 -2.438 6.347" Properties=species:S:1:pos:R:3 comment="Hg2TeAu PBEsol optimized geometry" sg=R3m volume_a3_per_atom=24.5 e_form_raw_ev_per_atom=0.01 pbc="T T T"
Hg 0.000 0.000 0.000
Hg 0.000 0.000 4.723
Te 0.000 0.000 14.643
Au 0.000 0.000 9.574



[3]
4
Lattice="3.887 0.000 0.000 0.000 4.103 0.000 0.000 0.000 6.097" Properties=species:S:1:pos:R:3 comment="Hg2TeAu PBEsol optimized geometry" sg=Pmmm volume_a3_per_atom=24.3 e_form_raw_ev_per_atom=0.10 pbc="T T T"
Hg 0.000 0.000 0.000
Hg 1.943 2.051 0.000
Te 0.000 2.051 3.048
Au 1.943 0.000 3.048



[4]
4
Lattice="2.875 0.000 0.000 0.000 3.971 0.000 0.000 0.000 8.164" Properties=species:S:1:pos:R:3 comment="Hg2TeAu PBEsol optimized geometry" sg=Pmm2 volume_a3_per_atom=23.3 e_form_raw_ev_per_atom=0.15 pbc="T T T"
Hg 0.000 0.000 0.000
Hg 1.437 1.985 2.059
Te 0.000 0.000 4.554
Au 1.437 1.985 6.411



[5]
4
Lattice="4.459 0.000 0.000 0.000 2.942 3.731 0.000 -2.942 3.731" Properties=species:S:1:pos:R:3 comment="Hg2TeAu PBEsol optimized geometry" sg=Amm2 volume_a3_per_atom=24.5 e_form_raw_ev_per_atom=0.04 pbc="T T T"
Hg 0.000 0.000 0.000
Hg 2.229 0.000 1.927
Te 2.229 0.000 5.267
Au 0.000 0.000 3.661



[6]
10
Lattice="8.418 0.000 0.000 0.000 8.418 0.000 0.000 0.000 2.999" Properties=species:S:1:pos:R:3 comment="TlHg2Au2 PBEsol optimized geometry" sg=P4/mbm volume_a3_per_atom=21.2 de_polymorph_mev_per_atom=0 delta_e_f_ev_per_atom=0.04 pbc="T T T"
Tl 0.000 0.000 0.000
Tl 4.209 4.209 0.000
Hg 1.095 3.114 0.000
Hg 3.114 7.323 0.000
Hg 5.304 1.095 0.000
Hg 7.323 5.304 0.000
Au 1.416 5.625 1.499
Au 2.793 1.416 1.499
Au 5.625 7.002 1.499
Au 7.002 2.793 1.499



[7]
6
Lattice="5.334 -1.944 0.000 5.334 1.944 0.000 -4.262 0.000 6.611" Properties=species:S:1:pos:R:3 comment="TlHgAu PBEsol optimized geometry" sg=C2/m volume_a3_per_atom=22.9 de_polymorph_mev_per_atom=0 delta_e_f_ev_per_atom=-0.02 pbc="T T T"
Tl -0.576 0.000 2.243
Tl 6.982 0.000 4.367
Hg -0.348 0.000 6.306
Hg 6.755 0.000 0.305
Au 2.383 0.000 2.172
Au 4.024 0.000 4.439



[8]
3
Lattice="4.915 0.000 0.000 -2.457 4.256 0.000 0.000 0.000 3.261" Properties=species:S:1:pos:R:3 comment="TlHgAu PBEsol optimized geometry" sg=P3m1 volume_a3_per_atom=22.7 de_polymorph_mev_per_atom=81 delta_e_f_ev_per_atom=0.06 pbc="T T T"
Tl 0.000 0.000 0.000
Hg 0.000 2.838 1.628
Au 2.457 1.419 1.639



[9]
3
Lattice="-1.699 1.699 5.831 1.699 -1.699 5.831 1.699 1.699 -5.831" Properties=species:S:1:pos:R:3 comment="TlHgAu PBEsol optimized geometry" sg=I4mm volume_a3_per_atom=22.5 de_polymorph_mev_per_atom=69 delta_e_f_ev_per_atom=0.05 pbc="T T T"
Tl 0.000 0.000 0.000
Hg 0.000 0.000 8.113
Au 0.000 0.000 3.948



[10]
4
Lattice="4.714 -1.914 0.000 4.714 1.914 0.000 -1.307 0.000 4.552" Properties=species:S:1:pos:R:3 comment="TlHgAu2 PBEsol optimized geometry" sg=Cm volume_a3_per_atom=20.5 de_polymorph_mev_per_atom=54 delta_e_f_ev_per_atom=0.08 pbc="T T T"
Tl 0.000 0.000 0.000
Hg 6.821 0.000 1.346
Au 1.361 0.000 3.418
Au 4.125 0.000 2.385



[11]
4
Lattice="3.456 0.000 0.000 0.000 3.456 0.000 0.000 0.000 6.963" Properties=species:S:1:pos:R:3 comment="TlHgAu2 PBEsol optimized geometry" sg=P4mm volume_a3_per_atom=20.8 de_polymorph_mev_per_atom=48 delta_e_f_ev_per_atom=0.08 pbc="T T T"
Tl 0.000 0.000 0.000
Hg 1.728 1.728 4.844
Au 0.000 0.000 3.228
Au 1.728 1.728 1.816



[12]
3
Lattice="0.000 3.330 3.330 3.330 0.000 3.330 3.330 3.330 0.000" Properties=species:S:1:pos:R:3 comment="TlHgAu PBEsol optimized geometry" sg=F-43m volume_a3_per_atom=24.6 de_polymorph_mev_per_atom=19 delta_e_f_ev_per_atom=0.00 pbc="T T T"
Tl 0.000 0.000 0.000
Hg 3.330 3.330 3.330
Au 1.665 1.665 1.665